SmDyTlSn, relaxed, DFT PBE; raw total energy = -4.3938 eV per atom; total magnetic moment = 0.0 μB per formula unit; energy relative to the elements = -1.885 eV/f.u.
1.0
0.0000 3.8198 3.8198
3.8198 0.0000 3.8198
3.8198 3.8198 0.0000
Sm Dy Tl Sn
1 1 1 1
Direct
0.0000 0.0000 0.0000
0.5000 0.5000 0.5000
0.2500 0.2500 0.2500
0.7500 0.7500 0.7500